1.
DFT (GGA-PBE) results for a geometry-optimized Sr3Sn2Au2 structure.

POSCAR file:
```
Sr3Sn2Au2
1.0
4.7903 0.0000 0.0000
-2.3952 5.5962 -2.1024
0.0000 0.2328 8.0897
Sn Sr Au
2 3 2
direct
0.0378 0.0755 0.3445 Sn
0.9622 0.9245 0.6555 Sn
0.6768 0.3536 0.6533 Sr
0.5000 0.0000 0.0000 Sr
0.3232 0.6464 0.3467 Sr
0.1840 0.3679 0.9291 Au
0.8160 0.6321 0.0709 Au
```

Calculated values
E (eV per atom): -3.503
Calculated volume (A^3/atom): 31.32
Space group: No. 12
N(E_F) (states/eV/cell): 3.28


2.
DFT (GGA-PBE) results for a geometry-optimized Mg2Sc7Cd2 structure.

POSCAR file:
```
Mg2Sc7Cd2
1.0
-4.3997 -3.6788 -2.3888
5.4432 -6.2958 -0.3293
0.7128 0.2937 6.1647
Sc Mg Cd
7 2 2
direct
0.5000 0.2056 0.5000 Sc
0.0000 0.0000 0.0000 Sc
0.5000 0.6923 0.0000 Sc
0.5000 0.7944 0.5000 Sc
0.5000 0.3077 0.0000 Sc
0.0000 0.6923 0.5000 Sc
0.0000 0.3077 0.5000 Sc
0.2753 0.0000 0.7247 Mg
0.7247 0.0000 0.2753 Mg
0.2227 0.5000 0.2227 Cd
0.7773 0.5000 0.7773 Cd
```

Calculated values
E (eV per atom): -4.243
Calculated volume (A^3/atom): 25.46
Space group: No. 65
N(E_F) (states/eV/cell): 17.38


Repeat the second record exactly.
DFT (GGA-PBE) results for a geometry-optimized Mg2Sc7Cd2 structure.

POSCAR file:
```
Mg2Sc7Cd2
1.0
-4.3997 -3.6788 -2.3888
5.4432 -6.2958 -0.3293
0.7128 0.2937 6.1647
Sc Mg Cd
7 2 2
direct
0.5000 0.2056 0.5000 Sc
0.0000 0.0000 0.0000 Sc
0.5000 0.6923 0.0000 Sc
0.5000 0.7944 0.5000 Sc
0.5000 0.3077 0.0000 Sc
0.0000 0.6923 0.5000 Sc
0.0000 0.3077 0.5000 Sc
0.2753 0.0000 0.7247 Mg
0.7247 0.0000 0.2753 Mg
0.2227 0.5000 0.2227 Cd
0.7773 0.5000 0.7773 Cd
```

Calculated values
E (eV per atom): -4.243
Calculated volume (A^3/atom): 25.46
Space group: No. 65
N(E_F) (states/eV/cell): 17.38


Which of these has the lowest calculated volume?
Mg2Sc7Cd2